No. 1
DFT (PBE) results for an optimized crystal structure of Li4Zn2GaPd.

Properties
As for the total energy: -2.649 eV/atom. Its space-group type is No. 115.

a b c (Å): 4.304 4.304 6.135
angles (deg): 90.00 90.00 90.00
Positions (direct):
Ga 0.000 0.000 0.000
Li 0.500 0.500 0.000
Li 0.500 0.000 0.256
Li 0.000 0.000 0.500
Li 0.000 0.500 0.744
Pd 0.500 0.500 0.500
Zn 0.000 0.500 0.253
Zn 0.500 0.000 0.747

No. 2
DFT (PBE) results for an optimized crystal structure of Li2ZrZnGa2Pd2.

Properties
As for the total energy: -4.281 eV/atom. Its space-group type is No. 115.

a b c (Å): 4.389 4.389 6.366
angles (deg): 90.00 90.00 90.00
Positions (direct):
Ga 0.500 0.500 0.000
Ga 0.000 0.000 0.500
Li 0.500 0.000 0.211
Li 0.000 0.500 0.789
Pd 0.000 0.500 0.246
Pd 0.500 0.000 0.754
Zn 0.000 0.000 0.000
Zr 0.500 0.500 0.500

No. 3
DFT (PBE) results for an optimized crystal structure of LiPm2Ga3.

Properties
As for the total energy: -3.965 eV/atom. Its space-group type is No. 69.

a b c (Å): 9.038 8.663 5.851
angles (deg): 74.21 67.26 38.53
Positions (direct):
Ga 0.331 0.836 0.164
Ga 0.834 0.834 0.166
Ga 0.164 0.669 0.331
Ga 0.836 0.331 0.669
Ga 0.166 0.166 0.834
Ga 0.669 0.164 0.836
Li 0.668 0.668 0.332
Li 0.332 0.332 0.668
Pm 0.250 0.250 0.250
Pm 0.745 0.255 0.255
Pm 0.255 0.745 0.745
Pm 0.750 0.750 0.750